Computed, not measured: a relaxed Cr2FeMoO8 crystal at the PBE+U level of DFT.

Lattice parameters (Å, degrees): 4.623 4.629 6.030 88.89 88.89 89.07
Atoms (fractional coordinates):
Cr 0.006 0.006 0.245
Cr 0.994 0.994 0.755
Fe 0.500 0.500 0.000
Mo 0.500 0.500 0.500
O 0.195 0.807 0.000
O 0.198 0.804 0.500
O 0.294 0.296 0.726
O 0.308 0.309 0.255
O 0.692 0.691 0.745
O 0.706 0.704 0.274
O 0.802 0.196 0.500
O 0.805 0.193 0.000

Values from the calculation:
E = -7.140 eV per atom
space-group type = P-1 (2)
calculated density = 4.94 g/cm3